No. 1
{"formula": "Tb3Pr3Tl2", "functional": "PBE-GGA", "state": "optimized geometry", "lattice_angstrom": [[6.282, 0.005, -0.012], [0.012, 6.282, -0.012], [-0.005, -0.005, 6.282]], "species": ["Tb", "Tb", "Tb", "Tl", "Tl", "Pr", "Pr", "Pr"], "fractional_positions": [[0.754, 0.000, 0.754], [0.000, 0.246, 0.246], [0.246, 0.754, 0.000], [0.749, 0.749, 0.251], [0.251, 0.251, 0.749], [0.245, 0.755, 0.500], [0.755, 0.500, 0.755], [0.500, 0.245, 0.245]], "delta_e_f_ev_per_atom": -0.1336}

No. 2
{"formula": "TbPrTl4", "functional": "PBE-GGA", "state": "optimized geometry", "lattice_angstrom": [[3.839, -0.149, -0.001], [0.197, 5.094, -0.020], [-0.027, 0.036, 8.828]], "species": ["Tl", "Tl", "Tl", "Tl", "Tb", "Pr"], "fractional_positions": [[0.871, 0.997, 0.829], [0.901, 0.497, 0.334], [0.610, 0.497, 0.659], [0.623, 0.997, 0.171], [0.249, 0.997, 0.500], [0.253, 0.497, 0.996]], "delta_e_f_ev_per_atom": -0.2589}

No. 3
{"formula": "Tb5Pr4Tl", "functional": "PBE-GGA", "state": "optimized geometry", "lattice_angstrom": [[4.201, 0.000, 0.000], [0.000, 4.201, 0.000], [0.000, 0.000, 18.428]], "species": ["Tb", "Tb", "Tb", "Tb", "Tb", "Pr", "Pr", "Pr", "Pr", "Tl"], "fractional_positions": [[0.500, 0.500, 0.500], [0.500, 0.500, 0.087], [0.500, 0.500, 0.709], [0.500, 0.500, 0.913], [0.500, 0.500, 0.291], [0.000, 0.000, 0.603], [0.000, 0.000, 0.196], [0.000, 0.000, 0.804], [0.000, 0.000, 0.397], [0.000, 0.000, 0.000]], "delta_e_f_ev_per_atom": 0.0254}

No. 4
{"formula": "TbPr2Tl4", "functional": "PBE-GGA", "state": "optimized geometry", "lattice_angstrom": [[-0.988, -1.130, 5.630], [-4.530, -3.356, -1.469], [7.591, -4.093, -2.504]], "species": ["Tl", "Tl", "Tl", "Tl", "Pr", "Pr", "Tb"], "fractional_positions": [[0.193, 0.193, 0.385], [0.500, 0.000, 0.000], [0.000, 0.500, 0.000], [0.807, 0.807, 0.615], [0.396, 0.396, 0.792], [0.604, 0.604, 0.208], [0.000, 0.000, 0.000]], "delta_e_f_ev_per_atom": 0.1154}

No. 5
{"formula": "Tb2Pr2Tl", "functional": "PBE-GGA", "state": "optimized geometry", "lattice_angstrom": [[5.883, -0.586, 1.749], [-3.451, 4.800, -1.751], [3.248, -1.873, 7.138]], "species": ["Pr", "Pr", "Tb", "Tb", "Tl"], "fractional_positions": [[0.197, 0.803, 0.913], [0.803, 0.197, 0.087], [0.613, 0.387, 0.687], [0.387, 0.613, 0.313], [0.000, 0.000, 0.500]], "delta_e_f_ev_per_atom": -0.1216}

No. 6
{"formula": "Tb2Pr3Tl2", "functional": "PBE-GGA", "state": "optimized geometry", "lattice_angstrom": [[-2.892, 2.495, 4.061], [-0.596, -5.462, -0.895], [7.464, 1.299, 4.517]], "species": ["Pr", "Pr", "Pr", "Tb", "Tb", "Tl", "Tl"], "fractional_positions": [[0.500, 0.000, 0.000], [0.656, 0.313, 0.469], [0.344, 0.687, 0.531], [0.075, 0.150, 0.724], [0.925, 0.850, 0.276], [0.786, 0.573, 0.859], [0.214, 0.427, 0.141]], "delta_e_f_ev_per_atom": -0.1945}

No. 7
{"formula": "Tb5Pr6Tl", "functional": "PBE-GGA", "state": "optimized geometry", "lattice_angstrom": [[-3.889, -2.413, -2.233], [5.785, 2.673, -7.162], [4.573, -6.714, 5.091]], "species": ["Tb", "Tb", "Tb", "Tb", "Tb", "Tl", "Pr", "Pr", "Pr", "Pr", "Pr", "Pr"], "fractional_positions": [[0.500, 0.170, 0.830], [0.000, 0.336, 0.664], [0.000, 0.664, 0.336], [0.500, 0.500, 0.500], [0.500, 0.830, 0.170], [0.000, 0.000, 0.000], [0.245, 0.410, 0.080], [0.744, 0.244, 0.244], [0.755, 0.920, 0.590], [0.755, 0.590, 0.920], [0.245, 0.080, 0.410], [0.256, 0.756, 0.756]], "delta_e_f_ev_per_atom": -0.0345}

No. 8
{"formula": "Tb5Pr2Tl", "functional": "PBE-GGA", "state": "optimized geometry", "lattice_angstrom": [[4.859, 0.000, -0.942], [-0.183, 4.856, -0.942], [-0.415, -0.431, 10.862]], "species": ["Tl", "Pr", "Pr", "Tb", "Tb", "Tb", "Tb", "Tb"], "fractional_positions": [[0.000, 0.000, 0.000], [0.744, 0.744, 0.489], [0.256, 0.256, 0.511], [0.500, 0.500, 0.000], [0.881, 0.381, 0.762], [0.381, 0.881, 0.762], [0.619, 0.119, 0.238], [0.119, 0.619, 0.238]], "delta_e_f_ev_per_atom": -0.0629}

Question: What is the formula in the seventh record?
Answer: Tb5Pr6Tl

Please write out number 4 again, unchanged.
{"formula": "TbPr2Tl4", "functional": "PBE-GGA", "state": "optimized geometry", "lattice_angstrom": [[-0.988, -1.130, 5.630], [-4.530, -3.356, -1.469], [7.591, -4.093, -2.504]], "species": ["Tl", "Tl", "Tl", "Tl", "Pr", "Pr", "Tb"], "fractional_positions": [[0.193, 0.193, 0.385], [0.500, 0.000, 0.000], [0.000, 0.500, 0.000], [0.807, 0.807, 0.615], [0.396, 0.396, 0.792], [0.604, 0.604, 0.208], [0.000, 0.000, 0.000]], "delta_e_f_ev_per_atom": 0.1154}